Record 1
## K2ZrF6 (PBE)

Data for a geometry-optimized K2ZrF6 structure.

Output
space group: No. 15
DFT total energy: -5.7811 eV/atom

Cell and atoms, written as POSCAR:
```
K2ZrF6
1.0
4.425 -3.093 3.455
-1.714 -4.770 3.870
0.766 -4.377 -5.181
F K Zr
12 4 2
direct
0.859 0.209 0.049
0.285 0.028 0.217
0.004 0.597 0.222
0.399 0.597 0.278
0.687 0.028 0.283
0.932 0.209 0.451
0.068 0.791 0.549
0.313 0.972 0.717
0.601 0.403 0.722
0.996 0.403 0.778
0.715 0.972 0.783
0.141 0.791 0.951
0.367 0.311 0.000
0.322 0.311 0.500
0.678 0.689 0.500
0.633 0.689 0.000
0.050 0.900 0.250
0.950 0.100 0.750
```

Record 2
## Lu4SiSnC2 (PBE)

Data for a geometry-optimized Lu4SiSnC2 structure.

Output
space group: No. 187
DFT total energy: -6.2804 eV/atom

Cell and atoms, written as POSCAR:
```
Lu4SiSnC2
1.0
-3.330 -0.460 1.013
2.226 -2.715 0.000
3.840 3.145 14.051
C Lu Si Sn
2 4 1 1
direct
0.000 0.000 0.240
0.000 0.000 0.760
0.667 0.333 0.150
0.333 0.667 0.325
0.333 0.667 0.675
0.667 0.333 0.850
0.333 0.667 0.000
0.667 0.333 0.500
```

Record 3
## Pm5In4Ag (PBE)

Data for a geometry-optimized Pm5In4Ag structure.

Output
space group: No. 123
DFT total energy: -4.2052 eV/atom

Cell and atoms, written as POSCAR:
```
Pm5In4Ag
1.0
-0.923 -1.465 3.230
3.460 -1.105 0.488
4.413 17.982 9.417
Ag In Pm
1 4 5
direct
0.000 0.000 0.000
0.000 0.000 0.193
0.000 0.000 0.398
0.000 0.000 0.602
0.000 0.000 0.807
0.500 0.500 0.093
0.500 0.500 0.296
0.500 0.500 0.500
0.500 0.500 0.704
0.500 0.500 0.907
```

Record 4
## GdTmTa2C4 (PBE)

Data for a geometry-optimized GdTmTa2C4 structure.

Output
space group: No. 164
DFT total energy: -9.1076 eV/atom

Cell and atoms, written as POSCAR:
```
GdTmTa2C4
1.0
3.446 0.000 0.000
-1.723 2.984 0.000
0.000 0.000 10.302
C Gd Ta Tm
4 1 2 1
direct
0.333 0.667 0.162
0.333 0.667 0.350
0.667 0.333 0.650
0.667 0.333 0.838
0.000 0.000 0.000
0.667 0.333 0.255
0.333 0.667 0.745
0.000 0.000 0.500
```

Record 5
## YTeAuO (PBE)

Data for a geometry-optimized YTeAuO structure.

Output
energy above the most stable polymorph in this dataset: 0.103 eV/f.u.
space group: No. 32

Cell and atoms, written as POSCAR:
```
YTeAuO
1.0
-1.819 -5.344 0.563
1.805 -0.045 5.402
-9.095 3.420 3.068
Au O Te Y
4 4 4 4
direct
0.793 0.158 0.508
0.293 0.342 0.508
0.707 0.658 0.508
0.207 0.842 0.508
0.751 0.248 0.997
0.251 0.252 0.997
0.749 0.748 0.997
0.249 0.752 0.997
0.000 0.000 0.279
0.500 0.500 0.279
0.500 0.000 0.712
0.000 0.500 0.712
0.500 0.000 0.105
0.000 0.500 0.105
0.000 0.000 0.893
0.500 0.500 0.893
```

Record 6
## HfB4As (PBE)

Data for a geometry-optimized HfB4As structure.

Output
energy above the most stable polymorph in this dataset: 0.000 eV/f.u.
space group: No. 191

Cell and atoms, written as POSCAR:
```
HfB4As
1.0
-3.104 -0.094 -0.187
1.713 -2.137 -1.476
-0.229 -4.295 5.953
As B Hf
1 4 1
direct
0.000 0.000 0.000
0.667 0.333 0.262
0.333 0.667 0.262
0.667 0.333 0.738
0.333 0.667 0.738
0.000 0.000 0.500
```

Record 7
## Y4Fe3Mo2C3 (PBE)

Data for a geometry-optimized Y4Fe3Mo2C3 structure.

Output
space group: No. 15
DFT total energy: -8.3557 eV/atom

Cell and atoms, written as POSCAR:
```
Y4Fe3Mo2C3
1.0
4.918 -2.847 0.000
4.918 2.847 0.000
-3.244 0.000 13.986
C Fe Mo Y
6 6 4 8
direct
0.500 0.000 0.000
0.794 0.342 0.000
0.206 0.658 0.000
0.658 0.206 0.500
0.000 0.500 0.500
0.342 0.794 0.500
0.885 0.585 0.247
0.454 0.546 0.250
0.415 0.115 0.253
0.585 0.885 0.747
0.546 0.454 0.750
0.115 0.415 0.753
0.521 0.706 0.075
0.294 0.479 0.425
0.706 0.521 0.575
0.479 0.294 0.925
0.183 0.369 0.096
0.875 0.036 0.120
0.964 0.125 0.380
0.631 0.817 0.404
0.369 0.183 0.596
0.036 0.875 0.620
0.125 0.964 0.880
0.817 0.631 0.904
```

Record 8
## KAg3Te2 (PBE)

Data for a geometry-optimized KAg3Te2 structure.

Output
space group: No. 12
DFT total energy: -2.6948 eV/atom

Cell and atoms, written as POSCAR:
```
KAg3Te2
1.0
-0.360 3.155 0.387
16.805 1.150 -6.974
-6.361 -0.264 -3.754
Ag K Te
6 2 4
direct
0.694 0.389 0.097
0.394 0.788 0.329
0.275 0.549 0.447
0.725 0.451 0.553
0.606 0.212 0.671
0.306 0.611 0.903
0.599 0.198 0.152
0.401 0.802 0.848
0.517 0.035 0.291
0.819 0.638 0.294
0.181 0.362 0.706
0.483 0.965 0.709
```